Record 1
The following is a DFT calculation (PBE) of CaAg2Bi2 after structural relaxation.

Cell: 4.6718 23.9836 4.6102 Å, 90.00 90.00 90.00°
Space group Cmcm (No. 63)
Asymmetric unit:
Ca1 0.0000 0.1388 0.2500 [4 per cell]
Ag1 0.0000 0.0363 0.7500 [4 per cell]
Ag2 0.0000 0.4643 0.7500 [4 per cell]
Bi1 0.0000 0.2502 0.7500 [4 per cell]
Bi2 0.0000 0.3863 0.2500 [4 per cell]

Calculated values
The final energy is -3.39 eV/atom. As for the total magnetization: 0.00 μB per formula unit.


Record 2
The following is a DFT calculation (PBE) of Th6USe12 after structural relaxation.

Cell: 12.9531 12.9531 11.7254 Å, 90.00 90.00 120.00°
Space group R-3 (No. 148, hexagonal axes)
Asymmetric unit:
Th1 0.0511 0.2733 0.1399 [18 per cell]
U1 0.0000 0.0000 0.5000 [3 per cell]
Se1 0.0362 0.2126 0.8869 [18 per cell]
Se2 0.0531 0.2123 0.3823 [18 per cell]

Calculated values
The final energy is -6.68 eV/atom. As for the total magnetization: 3.05 μB per formula unit.


Record 3
The following is a DFT calculation (PBE) of TlRePb after structural relaxation.

Cell: 3.0238 3.0238 15.9982 Å, 90.00 90.00 90.00°
Space group I4mm (No. 107)
Asymmetric unit:
Tl1 0.0000 0.0000 0.0000 [2 per cell]
Re1 0.0000 0.0000 0.6421 [2 per cell]
Pb1 0.0000 0.0000 0.2775 [2 per cell]

Calculated values
The final energy is -5.22 eV/atom. As for the total magnetization: 0.14 μB per formula unit.


Record 4
The following is a DFT calculation (PBE) of CdP3 after structural relaxation.

Cell: 4.1137 4.1137 4.1137 Å, 90.00 90.00 90.00°
Space group Pm-3m (No. 221)
Asymmetric unit:
Cd1 0.0000 0.0000 0.0000 [1 per cell]
P1 0.0000 0.5000 0.5000 [3 per cell]

Calculated values
The final energy is -3.52 eV/atom. As for the total magnetization: 0.00 μB per formula unit.


Record 5
The following is a DFT calculation (PBE) of MgCd5Pb after structural relaxation.

Cell: 6.0695 9.7442 6.1883 Å, 90.00 90.00 90.00°
Space group Cmmm (No. 65)
Asymmetric unit:
Mg1 0.0000 0.0000 0.0000 [2 per cell]
Cd1 0.0000 0.5000 0.0000 [2 per cell]
Cd2 0.2500 0.2500 0.2491 [8 per cell]
Pb1 0.0000 0.5000 0.5000 [2 per cell]

Calculated values
The final energy is -1.34 eV/atom. As for the total magnetization: 0.00 μB per formula unit.


Record 6
The following is a DFT calculation (PBE) of Pm3Zn2Pd7 after structural relaxation.

Cell: 4.2219 29.5188 4.0316 Å, 90.00 90.00 90.00°
Space group Cmmm (No. 65)
Asymmetric unit:
Pm1 0.0000 0.0000 0.0000 [2 per cell]
Pm2 0.0000 0.2009 0.0000 [4 per cell]
Zn1 0.0000 0.4176 0.5000 [4 per cell]
Pd1 0.0000 0.1315 0.5000 [4 per cell]
Pd2 0.0000 0.2885 0.5000 [4 per cell]
Pd3 0.0000 0.3648 0.0000 [4 per cell]
Pd4 0.0000 0.5000 0.5000 [2 per cell]

Calculated values
The final energy is -4.96 eV/atom. As for the total magnetization: 0.00 μB per formula unit.


Record 7
The following is a DFT calculation (PBE) of Pr2Nd3Y7 after structural relaxation.

Cell: 5.9114 3.6233 19.0847 Å, 90.00 93.24 90.00°
Space group P2/m (No. 10)
Asymmetric unit:
Pr1 0.2101 0.0000 0.2924 [2 per cell]
Nd1 0.0000 0.0000 0.0000 [1 per cell]
Nd2 0.2765 0.5000 0.6316 [2 per cell]
Y1 0.1881 0.5000 0.1419 [2 per cell]
Y2 0.2425 0.0000 0.4617 [2 per cell]
Y3 0.3089 0.0000 0.8272 [2 per cell]
Y4 0.5000 0.5000 0.0000 [1 per cell]

Calculated values
The final energy is -5.68 eV/atom. As for the total magnetization: 0.00 μB per formula unit.


Record 8
The following is a DFT calculation (PBE) of TaInCo after structural relaxation.

Cell: 3.2079 3.2079 6.1449 Å, 90.00 90.00 120.00°
Space group P3m1 (No. 156)
Asymmetric unit:
Ta1 0.0000 0.0000 0.0000 [1 per cell]
In1 0.3333 0.6667 0.5889 [1 per cell]
Co1 0.6667 0.3333 0.2444 [1 per cell]

Calculated values
The final energy is -6.99 eV/atom. As for the total magnetization: 0.00 μB per formula unit.


Record 9
The following is a DFT calculation (PBE) of AgC3 after structural relaxation.

Cell: 2.8983 2.8983 4.8847 Å, 90.00 90.00 90.00°
Space group P4/mmm (No. 123)
Asymmetric unit:
Ag1 0.0000 0.0000 0.0000 [1 per cell]
C1 0.0000 0.0000 0.5000 [1 per cell]
C2 0.5000 0.5000 0.3609 [2 per cell]

Calculated values
The final energy is -5.01 eV/atom. As for the total magnetization: 0.00 μB per formula unit.